Material: BPbWO6
Method: DFT, GGA+U
State: relaxed

Cell and atoms, written as POSCAR:
```
BPbWO6
1.0
-3.357 4.019 3.210
-3.347 -1.406 3.446
3.752 -0.498 3.423
O Pb W B
6 1 1 1
Cartesian
-0.415 1.512 5.626 O
-3.376 3.231 5.549 O
0.044 -1.261 4.570 O
-3.714 0.895 6.280 O
-2.033 0.269 3.788 O
1.649 0.760 3.914 O
3.466 -0.419 3.522 Pb
-0.232 0.753 4.003 W
-3.443 2.219 6.489 B
```

Density (Mg/m³): 6.33
Total magnetic moment (μB per atom): 0.000
SG: P1 (1)
E_tot (eV/f.u.): -62.283